(1)
Material: Na3InRh3O8
Method: DFT, GGA-PBE
State: optimized geometry

a = 6.5089 Å, b = 6.5089 Å, c = 6.5089 Å
α = 57.93°, β = 57.93°, γ = 57.93°
With the nearest neighbours (Å) after each atom.
Sites, in units of the cell vectors:
Na 0.0000 0.5000 0.5000  6 O 2.46-2.47
Na 0.5000 0.0000 0.5000  6 O 2.46-2.47
Na 0.5000 0.5000 0.0000  6 O 2.46-2.47
In 0.5000 0.5000 0.5000  6 O 2.19
Rh 0.0000 0.0000 0.5000  6 O 2.08-2.10
Rh 0.0000 0.5000 0.0000  6 O 2.08-2.10
Rh 0.5000 0.0000 0.0000  6 O 2.08-2.10
O 0.2170 0.7409 0.7409  2 Rh 2.08, 1 In 2.19
O 0.2315 0.2315 0.2315  3 Rh 2.10
O 0.2591 0.2591 0.7830  2 Rh 2.08, 1 In 2.19
O 0.2591 0.7830 0.2591  2 Rh 2.08, 1 In 2.19
O 0.7409 0.2170 0.7409  2 Rh 2.08, 1 In 2.19
O 0.7409 0.7409 0.2170  2 Rh 2.08, 1 In 2.19
O 0.7685 0.7685 0.7685  3 Rh 2.10
O 0.7830 0.2591 0.2591  2 Rh 2.08, 1 In 2.19

Summary:
E_form (uncorrected) = -1634 kJ/mol of formula units
Fermi-level density of states = 0.579 states/eV per atom
calculated density = 5.55 g/cm3
M_tot = 0.066 μB/atom
calculated total energy = -5.6899 eV/atom

=====

(2)
Material: Na3In2RuO6
Method: DFT, GGA-PBE
State: optimized geometry

a = 5.6479 Å, b = 5.6479 Å, c = 5.7356 Å
α = 99.43°, β = 99.43°, γ = 119.99°
With the nearest neighbours (Å) after each atom.
Sites, in units of the cell vectors:
Na 0.0000 0.0000 0.0000  6 O 2.42-2.54
Na 0.3384 0.6616 0.0000  6 O 2.40-2.56
Na 0.6616 0.3384 0.0000  6 O 2.40-2.56
In 0.1671 0.8329 0.5000  6 O 2.23-2.24
In 0.8329 0.1671 0.5000  6 O 2.23-2.24
Ru 0.5000 0.5000 0.5000  6 O 2.11-2.12
O 0.1139 0.4307 0.2907  1 Ru 2.12, 2 In 2.24
O 0.2520 0.2520 0.7061  1 Ru 2.11, 2 In 2.23
O 0.4307 0.1139 0.2907  1 Ru 2.12, 2 In 2.24
O 0.5693 0.8861 0.7093  1 Ru 2.12, 2 In 2.24
O 0.7480 0.7480 0.2939  1 Ru 2.11, 2 In 2.23
O 0.8861 0.5693 0.7093  1 Ru 2.12, 2 In 2.24

Summary:
E_form (uncorrected) = -1656 kJ/mol of formula units
Fermi-level density of states = 0.418 states/eV per atom
calculated density = 5.50 g/cm3
M_tot = 0.084 μB/atom
calculated total energy = -5.4684 eV/atom

=====

(3)
Material: Na2InRuO4
Method: DFT, GGA-PBE
State: optimized geometry

a = 5.6438 Å, b = 3.1585 Å, c = 5.7409 Å
α = 90.00°, β = 109.01°, γ = 90.00°
With the nearest neighbours (Å) after each atom.
Sites, in units of the cell vectors:
Na 0.0000 0.0000 0.0000  6 O 2.46-2.50
Na 0.5000 0.5000 0.0000  6 O 2.39-2.42
In 0.0000 0.5000 0.5000  6 O 2.20-2.24
Ru 0.5000 0.0000 0.5000  6 O 2.13-2.15
O 0.2495 0.0000 0.7123  1 Ru 2.15, 2 In 2.20, 2 Na 2.39
O 0.2745 0.5000 0.2931  2 Ru 2.13, 1 In 2.24
O 0.7255 0.5000 0.7069  2 Ru 2.13, 1 In 2.24
O 0.7505 0.0000 0.2877  1 Ru 2.15, 2 In 2.20, 2 Na 2.39

Summary:
E_form (uncorrected) = -1020 kJ/mol of formula units
Fermi-level density of states = 0.450 states/eV per atom
calculated density = 5.59 g/cm3
M_tot = 0.126 μB/atom
calculated total energy = -5.6315 eV/atom

=====

(4)
Material: Na4In3RuO8
Method: DFT, GGA-PBE
State: optimized geometry

a = 6.6340 Å, b = 6.6340 Å, c = 6.6340 Å
α = 58.86°, β = 58.86°, γ = 58.86°
With the nearest neighbours (Å) after each atom.
Sites, in units of the cell vectors:
Na 0.0000 0.0000 0.0000  6 O 2.52
Na 0.0000 0.5000 0.5000  6 O 2.43-2.44
Na 0.5000 0.0000 0.5000  6 O 2.43-2.44
Na 0.5000 0.5000 0.0000  6 O 2.43-2.44
In 0.0000 0.0000 0.5000  6 O 2.23
In 0.0000 0.5000 0.0000  6 O 2.23
In 0.5000 0.0000 0.0000  6 O 2.23
Ru 0.5000 0.5000 0.5000  6 O 2.13
O 0.2393 0.2393 0.2393  3 In 2.23, 3 Na 2.43
O 0.2494 0.7293 0.7293  1 Ru 2.13, 2 In 2.23
O 0.2707 0.2707 0.7506  1 Ru 2.13, 2 In 2.23
O 0.2707 0.7506 0.2707  1 Ru 2.13, 2 In 2.23
O 0.7293 0.2494 0.7293  1 Ru 2.13, 2 In 2.23
O 0.7293 0.7293 0.2494  1 Ru 2.13, 2 In 2.23
O 0.7506 0.2707 0.2707  1 Ru 2.13, 2 In 2.23
O 0.7607 0.7607 0.7607  3 In 2.23, 3 Na 2.43

Summary:
E_form (uncorrected) = -2272 kJ/mol of formula units
Fermi-level density of states = 0.466 states/eV per atom
calculated density = 5.50 g/cm3
M_tot = 0.063 μB/atom
calculated total energy = -5.3737 eV/atom

=====

(5)
Material: Na3In3RuO8
Method: DFT, GGA-PBE
State: optimized geometry

a = 6.6891 Å, b = 6.6891 Å, c = 6.6891 Å
α = 58.20°, β = 58.20°, γ = 58.20°
With the nearest neighbours (Å) after each atom.
Sites, in units of the cell vectors:
Na 0.0000 0.5000 0.5000  6 O 2.46
Na 0.5000 0.0000 0.5000  6 O 2.46
Na 0.5000 0.5000 0.0000  6 O 2.46
In 0.0000 0.0000 0.5000  6 O 2.21-2.24
In 0.0000 0.5000 0.0000  6 O 2.22-2.24
In 0.5000 0.0000 0.0000  6 O 2.22-2.24
Ru 0.5000 0.5000 0.5000  6 O 2.04
O 0.2374 0.2374 0.2374  3 In 2.22, 3 Na 2.46
O 0.2596 0.7191 0.7191  1 Ru 2.04, 2 In 2.24
O 0.2809 0.2809 0.7404  1 Ru 2.04, 2 In 2.24
O 0.2809 0.7404 0.2809  1 Ru 2.04, 2 In 2.24
O 0.7191 0.2596 0.7191  1 Ru 2.04, 2 In 2.24
O 0.7191 0.7191 0.2596  1 Ru 2.04, 2 In 2.24
O 0.7404 0.2809 0.2809  1 Ru 2.04, 2 In 2.24
O 0.7626 0.7626 0.7626  3 In 2.21-2.22, 3 Na 2.46

Summary:
E_form (uncorrected) = -2134 kJ/mol of formula units
Fermi-level density of states = 0.329 states/eV per atom
calculated density = 5.26 g/cm3
M_tot = 0.133 μB/atom
calculated total energy = -5.5484 eV/atom

=====

(6)
Material: NaInS2O8
Method: DFT, GGA-PBE
State: optimized geometry

a = 4.9546 Å, b = 4.9546 Å, c = 7.4325 Å
α = 90.00°, β = 90.00°, γ = 65.27°
With the nearest neighbours (Å) after each atom.
Sites, in units of the cell vectors:
Na 0.0000 0.0000 0.0000  6 O 2.37-2.58
In 0.0000 0.0000 0.5000  6 O 2.15-2.19
S 0.3547 0.3547 0.7265  4 O 1.45-1.51
S 0.6453 0.6453 0.2735  4 O 1.45-1.51
O 0.2333 0.6901 0.7167  1 S 1.51
O 0.2519 0.2519 0.5619  1 S 1.49
O 0.2677 0.2677 0.8948  1 S 1.45
O 0.3099 0.7667 0.2833  1 S 1.51
O 0.6901 0.2333 0.7167  1 S 1.51
O 0.7323 0.7323 0.1052  1 S 1.45
O 0.7481 0.7481 0.4381  1 S 1.49
O 0.7667 0.3099 0.2833  1 S 1.51

Summary:
E_form (uncorrected) = -1804 kJ/mol of formula units
Fermi-level density of states = 0.000 states/eV per atom
calculated density = 3.31 g/cm3
M_tot = 0.000 μB/atom
calculated total energy = -5.8896 eV/atom

=====

(7)
Material: Na2In2SbO6
Method: DFT, GGA-PBE
State: optimized geometry

a = 5.6950 Å, b = 5.6950 Å, c = 5.9911 Å
α = 99.21°, β = 99.21°, γ = 119.41°
With the nearest neighbours (Å) after each atom.
Sites, in units of the cell vectors:
Na 0.1695 0.8305 0.0000  6 O 2.51-2.59
Na 0.8305 0.1695 0.0000  6 O 2.51-2.59
In 0.3355 0.6645 0.5000  6 O 2.22-2.28
In 0.6645 0.3355 0.5000  6 O 2.22-2.28
Sb 0.0000 0.0000 0.5000  6 O 2.11-2.15
O 0.0563 0.3825 0.6980  1 Sb 2.15, 2 In 2.22-2.28
O 0.2464 0.2464 0.3034  1 Sb 2.11, 2 In 2.24
O 0.3825 0.0563 0.6980  1 Sb 2.15, 2 In 2.22-2.28
O 0.6175 0.9437 0.3020  1 Sb 2.15, 2 In 2.22-2.28
O 0.7536 0.7536 0.6966  1 Sb 2.11, 2 In 2.24
O 0.9437 0.6175 0.3020  1 Sb 2.15, 2 In 2.22-2.28

Summary:
E_form (uncorrected) = -1597 kJ/mol of formula units
Fermi-level density of states = 0.183 states/eV per atom
calculated density = 5.10 g/cm3
M_tot = 0.000 μB/atom
calculated total energy = -5.3219 eV/atom

=====

(8)
Material: NaInSb2O8
Method: DFT, GGA-PBE
State: optimized geometry

a = 5.7278 Å, b = 5.7278 Å, c = 6.7112 Å
α = 90.00°, β = 90.00°, γ = 120.00°
With the nearest neighbours (Å) after each atom.
Sites, in units of the cell vectors:
Na 0.0000 0.0000 0.0000  12 O 3.15-3.46, 2 In 3.36
In 0.0000 0.0000 0.5000  6 O 2.17
Sb 0.3333 0.6667 0.4494  7 O 1.98-2.18
Sb 0.6667 0.3333 0.5506  7 O 1.98-2.18
O 0.0507 0.3682 0.6340  2 Sb 2.08-2.18, 1 In 2.17
O 0.3175 0.9493 0.6340  2 Sb 2.08-2.18, 1 In 2.17
O 0.3333 0.6667 0.1539  1 Sb 1.98
O 0.3682 0.3175 0.3660  2 Sb 2.08-2.18, 1 In 2.17
O 0.6318 0.6825 0.6340  2 Sb 2.08-2.18, 1 In 2.17
O 0.6667 0.3333 0.8461  1 Sb 1.98
O 0.6825 0.0507 0.3660  2 Sb 2.08-2.18, 1 In 2.17
O 0.9493 0.6318 0.3660  2 Sb 2.08-2.18, 1 In 2.17

Summary:
E_form (uncorrected) = -1066 kJ/mol of formula units
Fermi-level density of states = 0.802 states/eV per atom
calculated density = 4.44 g/cm3
M_tot = 0.167 μB/atom
calculated total energy = -5.2514 eV/atom

=====

(9)
Material: NaSc2InO
Method: DFT, GGA-PBE
State: optimized geometry

a = 4.4368 Å, b = 4.4368 Å, c = 4.6330 Å
α = 90.00°, β = 90.00°, γ = 90.00°
With the nearest neighbours (Å) after each atom.
Sites, in units of the cell vectors:
Na 0.0000 0.0000 0.0000  2 O 2.32
Sc 0.0000 0.5000 0.5000  2 O 2.22
Sc 0.5000 0.0000 0.5000  2 O 2.22
In 0.5000 0.5000 0.0000  4 Na 3.14, 8 Sc 3.21
O 0.0000 0.0000 0.5000  4 Sc 2.22, 2 Na 2.32

Summary:
E_form (uncorrected) = -606 kJ/mol of formula units
Fermi-level density of states = 0.480 states/eV per atom
calculated density = 4.44 g/cm3
M_tot = 0.000 μB/atom
calculated total energy = -5.5926 eV/atom

=====

(10)
Material: Na2ScInO4
Method: DFT, GGA-PBE
State: optimized geometry

a = 5.6080 Å, b = 3.2255 Å, c = 5.8439 Å
α = 90.00°, β = 108.92°, γ = 90.00°
With the nearest neighbours (Å) after each atom.
Sites, in units of the cell vectors:
Na 0.0000 0.0000 0.0000  6 O 2.43
Na 0.5000 0.5000 0.0000  6 O 2.49
Sc 0.0000 0.5000 0.5000  6 O 2.16-2.18
In 0.5000 0.0000 0.5000  6 O 2.22-2.25
O 0.2253 0.0000 0.7072  2 Sc 2.16, 1 In 2.25
O 0.2558 0.5000 0.2882  1 Sc 2.18, 2 In 2.22, 2 Na 2.43
O 0.7442 0.5000 0.7118  1 Sc 2.18, 2 In 2.22, 2 Na 2.43
O 0.7747 0.0000 0.2928  2 Sc 2.16, 1 In 2.25

Summary:
E_form (uncorrected) = -1713 kJ/mol of formula units
Fermi-level density of states = 0.000 states/eV per atom
calculated density = 4.48 g/cm3
M_tot = 0.000 μB/atom
calculated total energy = -6.1624 eV/atom